1.
Below is a relaxed structure of CrFe2Co, with properties calculated at the PBE level.

The structure in POSCAR format:
```
CrFe2Co
1.0
8.4773 0.0197 0.0115
8.1062 2.4808 0.0115
8.1062 1.2223 2.1589
Co Cr Fe
1 1 2
Direct
0.4991 0.4991 0.4991
0.7514 0.7514 0.7514
0.0009 0.0009 0.0009
0.2486 0.2486 0.2486
```

Values from the calculation:
Energy of formation, eV per atom: 0.13

2.
Below is a relaxed structure of CrFe2Co, with properties calculated at the PBE level.

The structure in POSCAR format:
```
CrFe2Co
1.0
2.4522 0.0047 0.0000
-0.7917 2.3209 0.0000
0.0000 0.0000 8.0247
Fe Cr Co
2 1 1
Direct
0.0000 0.0000 0.4984
0.0000 0.0000 0.0016
0.5000 0.5000 0.7500
0.5000 0.5000 0.2500
```

Values from the calculation:
Energy of formation, eV per atom: 0.05

3.
Below is a relaxed structure of CrFe2Co, with properties calculated at the PBE level.

The structure in POSCAR format:
```
CrFe2Co
1.0
-3.1128 -0.1153 -3.0535
-3.5244 -2.0144 1.5961
2.4290 3.2737 1.5521
Cr Co Fe
1 1 2
Direct
0.7500 0.2500 0.5000
0.2500 0.7500 0.5000
0.0000 0.0000 0.0000
0.5000 0.5000 0.0000
```

Values from the calculation:
Energy of formation, eV per atom: 0.04

4.
Below is a relaxed structure of CrFe2Co, with properties calculated at the PBE level.

The structure in POSCAR format:
```
CrFe2Co
1.0
-1.9470 1.1229 -1.6929
1.0806 -1.4131 -2.1801
-3.5211 -4.4187 1.1187
Cr Fe Co
1 2 1
Direct
0.5000 0.5000 0.7547
0.5000 0.5000 0.2498
0.0000 0.0000 0.9984
0.0000 0.0000 0.4971
```

Values from the calculation:
Energy of formation, eV per atom: 0.08

5.
Below is a relaxed structure of CrFe2Co, with properties calculated at the PBE level.

The structure in POSCAR format:
```
CrFe2Co
1.0
-1.1482 1.6066 -3.4948
-1.4444 -1.9259 -0.4108
-3.9967 1.4783 1.9928
Fe Co Cr
2 1 1
Direct
0.5000 0.2429 0.2531
0.0000 0.9980 0.9970
0.0000 0.4942 0.4972
0.5000 0.7649 0.7527
```

Values from the calculation:
Energy of formation, eV per atom: 0.09

6.
Below is a relaxed structure of Cr2Fe2Co, with properties calculated at the PBE level.

The structure in POSCAR format:
```
Cr2Fe2Co
1.0
-2.5988 -0.5412 -6.1879
6.2085 -0.0173 -2.6060
0.0725 -2.5128 0.1893
Fe Co Cr
4 2 4
Direct
0.1661 0.6661 0.5000
0.8339 0.3339 0.5000
0.6661 0.8339 0.5000
0.3339 0.1661 0.5000
0.0000 0.0000 0.0000
0.5000 0.5000 0.0000
0.8682 0.6318 0.0000
0.6318 0.1318 0.0000
0.3682 0.8682 0.0000
0.1318 0.3682 0.0000
```

Values from the calculation:
Polymorph energy (0 for the lowest one), meV per atom: 83
Energy of formation, eV per atom: 0.33

7.
Below is a relaxed structure of CrFe2Co, with properties calculated at the PBE level.

The structure in POSCAR format:
```
CrFe2Co
1.0
-5.4833 4.1201 -4.7409
-6.9803 3.5895 -2.8123
-5.5204 5.6157 -2.7399
Cr Co Fe
1 1 2
Direct
0.7500 0.7500 0.7500
0.2500 0.2500 0.2500
0.0001 0.0001 0.0001
0.4999 0.4999 0.4999
```

Values from the calculation:
Energy of formation, eV per atom: 0.12

8.
Below is a relaxed structure of CrFeCo3, with properties calculated at the PBE level.

The structure in POSCAR format:
```
CrFeCo3
1.0
4.4337 0.0001 0.0001
0.0000 4.0611 -2.1545
0.0002 0.7648 6.3463
Co Cr Fe
6 2 2
Direct
0.7500 0.8908 0.2952
0.7500 0.4044 0.2952
0.0000 0.0000 0.0000
0.2500 0.1092 0.7048
0.2500 0.5956 0.7048
0.5000 0.0000 0.0000
0.2500 0.1813 0.3626
0.7500 0.8187 0.6374
0.7500 0.4395 0.8789
0.2500 0.5605 0.1211
```

Values from the calculation:
Polymorph energy (0 for the lowest one), meV per atom: 0
Energy of formation, eV per atom: 0.34

9.
Below is a relaxed structure of CrFe2Co, with properties calculated at the PBE level.

The structure in POSCAR format:
```
CrFe2Co
1.0
4.6856 -0.0041 0.0016
-2.0838 4.1968 0.0016
0.4338 0.6990 2.3080
Co Fe Cr
1 2 1
Direct
0.5000 0.0000 0.5000
0.5000 0.5000 0.0000
0.0000 0.0000 0.0000
0.0000 0.5000 0.5000
```

Values from the calculation:
Energy of formation, eV per atom: 0.11

10.
Below is a relaxed structure of Cr2FeCo2, with properties calculated at the PBE level.

The structure in POSCAR format:
```
Cr2FeCo2
1.0
6.8248 0.0000 0.0000
0.0000 6.8248 0.0000
0.0000 0.0000 2.4867
Co Cr Fe
4 4 2
Direct
0.6749 0.8251 0.5000
0.3251 0.1749 0.5000
0.8251 0.3251 0.5000
0.1749 0.6749 0.5000
0.3798 0.8798 0.0000
0.6202 0.1202 0.0000
0.8798 0.6202 0.0000
0.1202 0.3798 0.0000
0.5000 0.5000 0.0000
0.0000 0.0000 0.0000
```

Values from the calculation:
Polymorph energy (0 for the lowest one), meV per atom: 0
Energy of formation, eV per atom: 0.26

11.
Below is a relaxed structure of Cr2FeCo4, with properties calculated at the PBE level.

The structure in POSCAR format:
```
Cr2FeCo4
1.0
3.4561 0.0000 0.0000
0.0000 4.8950 -0.5515
0.0000 1.0089 4.8215
Co Cr Fe
4 2 1
Direct
0.5000 0.5000 0.0000
0.0000 0.7374 0.7374
0.5000 0.0000 0.5000
0.0000 0.2626 0.2626
0.0000 0.7870 0.2130
0.0000 0.2130 0.7870
0.5000 0.5000 0.5000
```

Values from the calculation:
Energy of formation, eV per atom: 0.29

12.
Below is a relaxed structure of CrFe3Co4, with properties calculated at the PBE level.

The structure in POSCAR format:
```
CrFe3Co4
1.0
-2.0335 1.5718 3.1230
-0.9822 -3.7242 1.2348
6.2280 0.8839 0.9914
Co Fe Cr
4 3 1
Direct
0.3740 0.3740 0.7480
0.1260 0.1260 0.2520
0.8740 0.8740 0.7480
0.6260 0.6260 0.2520
0.7495 0.2495 0.4990
0.0000 0.5000 0.0000
0.2505 0.7505 0.5010
0.5000 0.0000 0.0000
```

Values from the calculation:
Energy of formation, eV per atom: 0.04